PBE with a Hubbard U HfCoBiF2, relaxed; V = 96.9 Å³ per cell
1.0
-3.5769 -0.2216 1.8236
0.2497 -5.9831 -0.2371
1.8294 -0.0655 3.5802
F Co Hf Bi
2 1 1 1
direct
0.5000 0.0000 0.0000
0.0000 0.0000 0.5000
0.0000 0.0000 0.0000
0.0000 0.5000 0.0000
0.5000 0.5000 0.5000

PBE with a Hubbard U KCoBiF6, relaxed; V = 142.1 Å³ per cell
1.0
5.8946 0.0023 0.0167
2.9540 5.1049 0.0312
-0.0138 -0.0245 4.7234
F K Bi Co
6 1 1 1
direct
0.9397 0.3437 0.3104
0.4118 0.0210 0.7384
0.0202 0.5679 0.7386
0.3444 0.7161 0.3101
0.7162 0.9395 0.3100
0.5674 0.4117 0.7384
0.0002 0.9999 0.9074
0.3333 0.3334 0.4184
0.6665 0.6667 0.5283

PBE with a Hubbard U LaCoBiF2, relaxed; V = 143.5 Å³ per cell
1.0
-3.2705 2.6250 -1.7342
-3.5149 -0.4120 6.0052
2.1590 3.6921 1.5169
La F Co Bi
1 2 1 1
direct
0.0000 0.5000 0.0000
0.5000 0.0000 0.0000
0.0000 0.0000 0.5000
0.5000 0.5000 0.5000
0.0000 0.0000 0.0000

PBE with a Hubbard U LiCoBi2F, relaxed; V = 115.3 Å³ per cell
1.0
-0.1603 3.5616 3.3215
2.2707 -2.8723 3.1896
4.3042 1.6585 -1.5707
Bi Co F Li
2 1 1 1
direct
0.5000 0.0000 0.0000
0.0000 0.0000 0.5000
0.0000 0.0000 0.0000
0.5000 0.5000 0.5000
0.0000 0.5000 0.0000

Density of states at the Fermi level for the records above, in order: 0.1166 0.0000 0.3099 0.2611 states/eV per atom
Energy for the records above, in order: -26.76 -43.08 -21.59 -16.99 eV per cell
Magnetic moment for the records above, in order: 1.96 3.00 1.36 0.80 μB per cell